(1)
Here is crystalline TbPrTl4 at its relaxed geometry from the Alexandria database. Energies are from PBE.

## Properties
Polymorph energy (0 for the lowest one): 0.907 eV per formula unit
DFT formation energy: -0.108 eV per atom
Total DFT energy (no corrections): -3.254 eV per atom

Unit cell a=6.249 b=6.249 c=6.249 alpha=60.00 beta=60.00 gamma=60.00
Sites, in units of the cell vectors:
Tl: 0.625 0.625 0.625
Tl: 0.125 0.625 0.625
Tl: 0.625 0.625 0.125
Tl: 0.625 0.125 0.625
Pr: 0.250 0.250 0.250
Tb: 0.000 0.000 0.000

=====

(2)
Here is crystalline Tb5Pr2Tl at its relaxed geometry from the Alexandria database. Energies are from PBE.

## Properties
Polymorph energy (0 for the lowest one): 0.169 eV per formula unit
DFT formation energy: -0.042 eV per atom
Total DFT energy (no corrections): -4.426 eV per atom

Unit cell a=7.067 b=7.067 c=7.124 alpha=119.73 beta=119.73 gamma=90.00
Sites, in units of the cell vectors:
Tb: 0.723 0.723 0.945
Tb: 0.722 0.222 0.944
Tb: 0.222 0.222 0.943
Tb: 0.222 0.723 0.945
Tb: 0.722 0.722 0.444
Pr: 0.222 0.721 0.444
Pr: 0.722 0.223 0.444
Tl: 0.222 0.222 0.445

=====

(3)
Here is crystalline Tb12Pr3Tl at its relaxed geometry from the Alexandria database. Energies are from PBE.

## Properties
DFT formation energy: -0.021 eV per atom
Total DFT energy (no corrections): -4.538 eV per atom

Unit cell a=5.013 b=5.013 c=20.380 alpha=90.00 beta=90.00 gamma=90.00
Sites, in units of the cell vectors:
Tl: 0.000 0.000 0.000
Tb: 0.500 0.000 0.880
Tb: 0.000 0.500 0.627
Tb: 0.500 0.500 0.500
Tb: 0.500 0.500 0.243
Tb: 0.000 0.500 0.373
Tb: 0.500 0.500 0.757
Tb: 0.500 0.000 0.627
Tb: 0.500 0.000 0.120
Tb: 0.000 0.500 0.880
Tb: 0.000 0.500 0.120
Tb: 0.500 0.000 0.373
Tb: 0.500 0.500 0.000
Pr: 0.000 0.000 0.248
Pr: 0.000 0.000 0.500
Pr: 0.000 0.000 0.752

=====

(4)
Here is crystalline Tb3PrTl at its relaxed geometry from the Alexandria database. Energies are from PBE.

## Properties
Polymorph energy (0 for the lowest one): 0.308 eV per formula unit
DFT formation energy: -0.057 eV per atom
Total DFT energy (no corrections): -4.265 eV per atom

Unit cell a=5.463 b=10.538 c=11.125 alpha=90.00 beta=90.00 gamma=90.00
Sites, in units of the cell vectors:
Tb: 0.750 0.405 0.892
Tb: 0.250 0.859 0.850
Tb: 0.750 0.905 0.608
Tb: 0.750 0.641 0.350
Tb: 0.250 0.359 0.650
Tb: 0.750 0.141 0.150
Tb: 0.250 0.095 0.392
Tb: 0.250 0.904 0.171
Tb: 0.750 0.596 0.671
Tb: 0.250 0.595 0.108
Tb: 0.250 0.404 0.329
Tb: 0.750 0.096 0.829
Tl: 0.750 0.931 0.335
Tl: 0.250 0.569 0.835
Tl: 0.750 0.431 0.165
Tl: 0.250 0.069 0.665
Pr: 0.750 0.781 0.016
Pr: 0.250 0.719 0.516
Pr: 0.250 0.219 0.984
Pr: 0.750 0.281 0.484

=====

(5)
Here is crystalline Tb5Pr4Tl at its relaxed geometry from the Alexandria database. Energies are from PBE.

## Properties
Polymorph energy (0 for the lowest one): 0.599 eV per formula unit
DFT formation energy: 0.085 eV per atom
Total DFT energy (no corrections): -4.378 eV per atom

Unit cell a=5.897 b=8.214 c=8.214 alpha=82.60 beta=68.96 gamma=68.96
Sites, in units of the cell vectors:
Tb: 0.770 0.000 0.369
Tb: 0.139 0.000 0.631
Tb: 0.659 0.000 0.000
Tb: 0.770 0.369 0.000
Tb: 0.139 0.631 0.000
Pr: 0.464 0.312 0.688
Pr: 0.776 0.688 0.688
Pr: 0.152 0.312 0.312
Pr: 0.464 0.688 0.312
Tl: 0.177 0.000 0.000

=====

(6)
Here is crystalline Tb3Pr4Tl at its relaxed geometry from the Alexandria database. Energies are from PBE.

## Properties
Polymorph energy (0 for the lowest one): 0.175 eV per formula unit
DFT formation energy: -0.053 eV per atom
Total DFT energy (no corrections): -4.475 eV per atom

Unit cell a=7.102 b=6.367 c=11.542 alpha=90.00 beta=90.00 gamma=90.00
Sites, in units of the cell vectors:
Pr: 0.941 0.027 0.236
Pr: 0.193 0.835 0.000
Pr: 0.441 0.973 0.264
Pr: 0.941 0.027 0.764
Pr: 0.442 0.309 0.000
Pr: 0.942 0.691 0.500
Pr: 0.693 0.165 0.500
Pr: 0.441 0.973 0.736
Tb: 0.688 0.819 0.000
Tb: 0.687 0.501 0.251
Tb: 0.187 0.499 0.249
Tb: 0.687 0.501 0.749
Tb: 0.187 0.499 0.751
Tb: 0.188 0.181 0.500
Tl: 0.436 0.640 0.500
Tl: 0.936 0.360 0.000

=====

(7)
Here is crystalline TbPr6Tl2 at its relaxed geometry from the Alexandria database. Energies are from PBE.

## Properties
Polymorph energy (0 for the lowest one): 0.265 eV per formula unit
DFT formation energy: -0.124 eV per atom
Total DFT energy (no corrections): -4.351 eV per atom

Unit cell a=6.070 b=10.091 c=10.091 alpha=72.41 beta=82.67 gamma=82.67
Sites, in units of the cell vectors:
Tl: 0.400 0.517 0.793
Tl: 0.600 0.483 0.207
Tl: 0.100 0.207 0.483
Tl: 0.900 0.793 0.517
Pr: 0.667 0.115 0.361
Pr: 0.965 0.446 0.672
Pr: 0.833 0.639 0.885
Pr: 0.465 0.672 0.446
Pr: 0.167 0.361 0.115
Pr: 0.199 0.003 0.225
Pr: 0.301 0.775 0.997
Pr: 0.535 0.328 0.554
Pr: 0.035 0.554 0.328
Pr: 0.699 0.225 0.003
Pr: 0.801 0.997 0.775
Pr: 0.333 0.885 0.639
Tb: 0.250 0.146 0.854
Tb: 0.750 0.854 0.146

=====

(8)
Here is crystalline Tb5Pr4Tl2 at its relaxed geometry from the Alexandria database. Energies are from PBE.

## Properties
DFT formation energy: 0.220 eV per atom
Total DFT energy (no corrections): -4.053 eV per atom

Unit cell a=5.268 b=5.268 c=16.537 alpha=80.84 beta=80.84 gamma=60.00
Sites, in units of the cell vectors:
Pr: 0.723 0.723 0.830
Pr: 0.277 0.277 0.170
Pr: 0.574 0.574 0.279
Pr: 0.426 0.426 0.721
Tl: 0.874 0.874 0.379
Tl: 0.126 0.126 0.621
Tb: 0.500 0.500 0.500
Tb: 0.649 0.649 0.053
Tb: 0.351 0.351 0.947
Tb: 0.199 0.199 0.403
Tb: 0.801 0.801 0.597

=====

(9)
Here is crystalline Tb3Pr5Tl at its relaxed geometry from the Alexandria database. Energies are from PBE.

## Properties
DFT formation energy: 0.371 eV per atom
Total DFT energy (no corrections): -4.090 eV per atom

Unit cell a=8.073 b=8.073 c=11.499 alpha=84.55 beta=84.55 gamma=61.00
Last column: magnetic moment on the atom in μB.
Sites, in units of the cell vectors:
Pr: 0.088 0.662 0.752  0.00
Pr: 0.330 0.670 0.000  0.16
Pr: 0.912 0.338 0.248  0.00
Pr: 0.491 0.491 0.371  0.00
Pr: 0.762 0.762 0.039  0.00
Pr: 0.238 0.238 0.961  0.00
Pr: 0.338 0.912 0.248  0.00
Pr: 0.670 0.330 0.000  0.16
Pr: 0.509 0.509 0.629  0.00
Pr: 0.662 0.088 0.752  0.00
Tl: 0.904 0.904 0.260  0.00
Tl: 0.096 0.096 0.740  0.00
Tb: 0.000 0.000 0.000  0.22
Tb: 0.744 0.744 0.474  0.00
Tb: 0.000 0.000 0.500  0.00
Tb: 0.329 0.329 0.218  0.00
Tb: 0.256 0.256 0.526  0.00
Tb: 0.671 0.671 0.782  0.00

=====

(10)
Here is crystalline Tb12Pr6Tl at its relaxed geometry from the Alexandria database. Energies are from PBE.

## Properties
DFT formation energy: 0.078 eV per atom
Total DFT energy (no corrections): -4.480 eV per atom

Unit cell a=8.578 b=8.578 c=8.578 alpha=89.17 beta=89.17 gamma=89.17
Sites, in units of the cell vectors:
Pr: 0.738 0.907 0.304
Pr: 0.262 0.093 0.696
Pr: 0.696 0.262 0.093
Pr: 0.304 0.738 0.907
Pr: 0.093 0.696 0.262
Pr: 0.907 0.304 0.738
Tb: 0.986 0.815 0.641
Tb: 0.014 0.185 0.359
Tb: 0.778 0.538 0.435
Tb: 0.462 0.565 0.222
Tb: 0.538 0.435 0.778
Tb: 0.185 0.359 0.014
Tb: 0.565 0.222 0.462
Tb: 0.435 0.778 0.538
Tb: 0.222 0.462 0.565
Tb: 0.359 0.014 0.185
Tb: 0.815 0.641 0.986
Tb: 0.641 0.986 0.815
Tl: 0.000 0.000 0.000

=====

(11)
Here is crystalline Tb3Pr4Tl at its relaxed geometry from the Alexandria database. Energies are from PBE.

## Properties
Polymorph energy (0 for the lowest one): 0.000 eV per formula unit
DFT formation energy: -0.075 eV per atom
Total DFT energy (no corrections): -4.497 eV per atom

Unit cell a=5.029 b=5.029 c=10.898 alpha=103.35 beta=103.35 gamma=90.00
Sites, in units of the cell vectors:
Tb: 0.751 0.251 0.502
Tb: 0.000 0.500 0.000
Tb: 0.249 0.749 0.498
Tl: 0.500 0.000 0.000
Pr: 0.622 0.622 0.244
Pr: 0.122 0.122 0.244
Pr: 0.378 0.378 0.756
Pr: 0.878 0.878 0.756

=====

(12)
Here is crystalline Tb5PrTl5 at its relaxed geometry from the Alexandria database. Energies are from PBE.

## Properties
DFT formation energy: -0.107 eV per atom
Total DFT energy (no corrections): -3.722 eV per atom

Unit cell a=6.041 b=8.580 c=7.221 alpha=98.36 beta=90.00 gamma=110.61
Sites, in units of the cell vectors:
Tl: 0.171 0.342 0.300
Tl: 0.829 0.658 0.700
Tl: 0.824 0.648 0.260
Tl: 0.176 0.352 0.740
Tl: 0.500 0.000 0.000
Pr: 0.000 0.000 0.000
Tb: 0.000 0.000 0.500
Tb: 0.322 0.643 0.091
Tb: 0.678 0.357 0.909
Tb: 0.637 0.273 0.399
Tb: 0.363 0.727 0.601